First-principles (PBE) data for crystalline Tb2Dy3Co2 at its relaxed geometry, as listed in the Alexandria database.

Geometry as POSCAR:
```
Tb2Dy3Co2
1.0
11.982 0.000 0.000
0.000 3.661 0.000
-3.918 0.000 7.949
Tb Dy Co
4 6 4
Direct
0.172 0.000 0.304
0.328 0.500 0.696
0.672 0.500 0.304
0.828 0.000 0.696
0.000 0.500 0.500
0.118 0.500 0.926
0.382 0.000 0.074
0.500 0.000 0.500
0.618 0.000 0.926
0.882 0.500 0.074
0.179 0.000 0.742
0.321 0.500 0.258
0.679 0.500 0.742
0.821 0.000 0.258
```

Summary:
N(E_F): 7.333 states/eV/f.u.
Total DFT energy (no corrections): -5.48 eV/atom
Energy of formation: -1.1 eV per formula unit
Crystal system: monoclinic
ρ: 8794 kg/m3